(1)
{"formula": "LiAsO3", "functional": "SCAN", "state": "PBEsol geometry", "total_energy_ev_per_cell": -41.708, "dos_ef_per_ev_cell": 3.24, "magnetic_moment_mub_per_atom": 0.400, "raw_formation_energy_kj_per_mol_atoms": -8.4, "rho_g_cm3": 4.75, "crystal_system": "cubic", "lattice_angstrom": [[3.5669, 0.0000, 0.0000], [0.0000, 3.5669, 0.0000], [0.0000, 0.0000, 3.5669]], "species": ["Li", "As", "O", "O", "O"], "frac_coords": [[0.0000, 0.0000, 0.0000], [0.5000, 0.5000, 0.5000], [0.0000, 0.0000, 0.5000], [0.0000, 0.5000, 0.0000], [0.5000, 0.0000, 0.0000]]}

---

(2)
{"formula": "LiAsO3", "functional": "SCAN", "state": "PBEsol geometry", "total_energy_ev_per_cell": -198.961, "dos_ef_per_ev_cell": 0.00, "magnetic_moment_mub_per_atom": 0.006, "raw_formation_energy_kj_per_mol_atoms": -163.4, "rho_g_cm3": 3.70, "crystal_system": "monoclinic", "lattice_angstrom": [[5.0669, -4.6543, 0.0000], [5.0669, 4.6543, 0.0000], [-1.7598, 0.0000, 4.9394]], "species": ["Li", "Li", "Li", "Li", "As", "As", "As", "As", "O", "O", "O", "O", "O", "O", "O", "O", "O", "O", "O", "O"], "frac_coords": [[0.0997, 0.9003, 0.7500], [0.2171, 0.7829, 0.2500], [0.7829, 0.2171, 0.7500], [0.9003, 0.0997, 0.2500], [0.1946, 0.3871, 0.7631], [0.3871, 0.1946, 0.2631], [0.6129, 0.8054, 0.7369], [0.8054, 0.6129, 0.2369], [0.0338, 0.1996, 0.6412], [0.1201, 0.6222, 0.8759], [0.1996, 0.0338, 0.1412], [0.3252, 0.4009, 0.5149], [0.3778, 0.8799, 0.6241], [0.4009, 0.3252, 0.0149], [0.5991, 0.6748, 0.9851], [0.6222, 0.1201, 0.3759], [0.6748, 0.5991, 0.4851], [0.8004, 0.9662, 0.8588], [0.8799, 0.3778, 0.1241], [0.9662, 0.8004, 0.3588]]}

---

(3)
{"formula": "Li3AsO4", "functional": "SCAN", "state": "PBEsol geometry", "total_energy_ev_per_cell": -276.316, "dos_ef_per_ev_cell": 0.00, "magnetic_moment_mub_per_atom": 0.000, "raw_formation_energy_kj_per_mol_atoms": -202.5, "polymorph_energy_ev_per_atom": 0.006, "rho_g_cm3": 3.09, "crystal_system": "orthorhombic", "lattice_angstrom": [[10.7862, 0.0000, 0.0000], [0.0000, 6.2848, 0.0000], [0.0000, 0.0000, 5.0616]], "species": ["Li", "Li", "Li", "Li", "Li", "Li", "Li", "Li", "Li", "Li", "Li", "Li", "As", "As", "As", "As", "O", "O", "O", "O", "O", "O", "O", "O", "O", "O", "O", "O", "O", "O", "O", "O"], "frac_coords": [[0.0783, 0.2500, 0.1948], [0.1659, 0.5038, 0.8098], [0.1659, 0.9962, 0.8098], [0.3341, 0.0038, 0.3098], [0.3341, 0.4962, 0.3098], [0.4217, 0.7500, 0.6948], [0.5783, 0.2500, 0.3052], [0.6659, 0.5038, 0.6902], [0.6659, 0.9962, 0.6902], [0.8341, 0.0038, 0.1902], [0.8341, 0.4962, 0.1902], [0.9217, 0.7500, 0.8052], [0.0866, 0.7500, 0.3131], [0.4134, 0.2500, 0.8131], [0.5866, 0.7500, 0.1869], [0.9134, 0.2500, 0.6869], [0.0628, 0.2500, 0.7984], [0.0869, 0.7500, 0.6526], [0.1626, 0.5279, 0.2030], [0.1626, 0.9721, 0.2030], [0.3374, 0.0279, 0.7030], [0.3374, 0.4721, 0.7030], [0.4131, 0.2500, 0.1526], [0.4372, 0.7500, 0.2984], [0.5628, 0.2500, 0.7016], [0.5869, 0.7500, 0.8474], [0.6626, 0.5279, 0.2970], [0.6626, 0.9721, 0.2970], [0.8374, 0.0279, 0.7970], [0.8374, 0.4721, 0.7970], [0.9131, 0.2500, 0.3474], [0.9372, 0.7500, 0.2016]]}

---

(4)
{"formula": "LiAsO3", "functional": "SCAN", "state": "PBEsol geometry", "total_energy_ev_per_cell": -99.972, "dos_ef_per_ev_cell": 0.00, "magnetic_moment_mub_per_atom": 0.000, "raw_formation_energy_kj_per_mol_atoms": -168.1, "rho_g_cm3": 4.49, "crystal_system": "trigonal", "lattice_angstrom": [[2.4219, 1.3983, 4.7261], [-2.4219, 1.3983, 4.7261], [0.0000, -2.7966, 4.7261]], "species": ["Li", "Li", "As", "As", "O", "O", "O", "O", "O", "O"], "frac_coords": [[0.1336, 0.1336, 0.1336], [0.8664, 0.8664, 0.8664], [0.3388, 0.3388, 0.3388], [0.6612, 0.6612, 0.6612], [0.0648, 0.7060, 0.4499], [0.2940, 0.5501, 0.9352], [0.4499, 0.0648, 0.7060], [0.5501, 0.9352, 0.2940], [0.7060, 0.4500, 0.0648], [0.9352, 0.2940, 0.5501]]}

---

(5)
{"formula": "Li2ThAs2O8", "functional": "SCAN", "state": "PBEsol geometry", "total_energy_ev_per_cell": -883.642, "dos_ef_per_ev_cell": 0.00, "magnetic_moment_mub_per_atom": 0.000, "raw_formation_energy_kj_per_mol_atoms": -222.5, "rho_g_cm3": 5.16, "crystal_system": "monoclinic", "lattice_angstrom": [[9.0641, 0.0000, 0.0000], [0.0000, 13.6778, 0.0000], [-1.5456, 0.0000, 5.4408]], "species": ["Li", "Li", "Li", "Li", "Li", "Li", "Li", "Li", "Th", "Th", "Th", "Th", "As", "As", "As", "As", "As", "As", "As", "As", "O", "O", "O", "O", "O", "O", "O", "O", "O", "O", "O", "O", "O", "O", "O", "O", "O", "O", "O", "O", "O", "O", "O", "O", "O", "O", "O", "O", "O", "O", "O", "O"], "frac_coords": [[0.1012, 0.2478, 0.4160], [0.1012, 0.2522, 0.9160], [0.2343, 0.0656, 0.7168], [0.2343, 0.4344, 0.2168], [0.7657, 0.5656, 0.7832], [0.7657, 0.9344, 0.2832], [0.8988, 0.7478, 0.0840], [0.8988, 0.7522, 0.5840], [0.3772, 0.6352, 0.5653], [0.3772, 0.8648, 0.0653], [0.6228, 0.1352, 0.9347], [0.6228, 0.3648, 0.4347], [0.1422, 0.6216, 0.9071], [0.1422, 0.8784, 0.4071], [0.3718, 0.1319, 0.2793], [0.3718, 0.3681, 0.7793], [0.6282, 0.6319, 0.2207], [0.6282, 0.8681, 0.7207], [0.8578, 0.1216, 0.5929], [0.8578, 0.3784, 0.0929], [0.0460, 0.1480, 0.6426], [0.0460, 0.3520, 0.1426], [0.1934, 0.5452, 0.7050], [0.1934, 0.9548, 0.2050], [0.1987, 0.1838, 0.2072], [0.1987, 0.3162, 0.7072], [0.2178, 0.5754, 0.1964], [0.2178, 0.9246, 0.6964], [0.2349, 0.7254, 0.8423], [0.2349, 0.7746, 0.3423], [0.3982, 0.0539, 0.0516], [0.3982, 0.4461, 0.5516], [0.4218, 0.0904, 0.5751], [0.4218, 0.4096, 0.0751], [0.4917, 0.7152, 0.2615], [0.4917, 0.7848, 0.7615], [0.5083, 0.2152, 0.2385], [0.5083, 0.2848, 0.7385], [0.5782, 0.5904, 0.9249], [0.5782, 0.9096, 0.4249], [0.6018, 0.5539, 0.4484], [0.6018, 0.9461, 0.9484], [0.7651, 0.2254, 0.6577], [0.7651, 0.2746, 0.1577], [0.7822, 0.0754, 0.3036], [0.7822, 0.4246, 0.8036], [0.8013, 0.6838, 0.2928], [0.8013, 0.8162, 0.7928], [0.8066, 0.0452, 0.7950], [0.8066, 0.4548, 0.2950], [0.9540, 0.6480, 0.8574], [0.9540, 0.8520, 0.3574]]}

---

(6)
{"formula": "LiTiAsO5", "functional": "SCAN", "state": "PBEsol geometry", "total_energy_ev_per_cell": -353.886, "dos_ef_per_ev_cell": 0.00, "magnetic_moment_mub_per_atom": 0.000, "raw_formation_energy_kj_per_mol_atoms": -225.6, "rho_g_cm3": 3.76, "crystal_system": "orthorhombic", "lattice_angstrom": [[7.4797, 0.0000, 0.0000], [0.0000, 6.6126, 0.0000], [0.0000, 0.0000, 7.4884]], "species": ["Li", "Li", "Li", "Li", "Ti", "Ti", "Ti", "Ti", "As", "As", "As", "As", "O", "O", "O", "O", "O", "O", "O", "O", "O", "O", "O", "O", "O", "O", "O", "O", "O", "O", "O", "O"], "frac_coords": [[0.0000, 0.0000, 0.0000], [0.0000, 0.5000, 0.0000], [0.5000, 0.0000, 0.5000], [0.5000, 0.5000, 0.5000], [0.1622, 0.2500, 0.2749], [0.3378, 0.7500, 0.7749], [0.6622, 0.2500, 0.2251], [0.8378, 0.7500, 0.7251], [0.1267, 0.7500, 0.3697], [0.3733, 0.2500, 0.8697], [0.6267, 0.7500, 0.1303], [0.8733, 0.2500, 0.6303], [0.0671, 0.2500, 0.5103], [0.1133, 0.7500, 0.8304], [0.1259, 0.5447, 0.2336], [0.1259, 0.9553, 0.2336], [0.1850, 0.2500, 0.9999], [0.3150, 0.7500, 0.4999], [0.3741, 0.0447, 0.7336], [0.3741, 0.4553, 0.7336], [0.3867, 0.2500, 0.3304], [0.4329, 0.7500, 0.0103], [0.5671, 0.2500, 0.9897], [0.6133, 0.7500, 0.6696], [0.6259, 0.5447, 0.2664], [0.6259, 0.9553, 0.2664], [0.6850, 0.2500, 0.5001], [0.8150, 0.7500, 0.0001], [0.8741, 0.0447, 0.7664], [0.8741, 0.4553, 0.7664], [0.8867, 0.2500, 0.1696], [0.9329, 0.7500, 0.4897]]}

---

(7)
{"formula": "LiVAsO5", "functional": "SCAN", "state": "PBEsol geometry", "total_energy_ev_per_cell": -351.850, "magnetic_moment_mub_per_atom": 0.125, "raw_formation_energy_kj_per_mol_atoms": -201.9, "rho_g_cm3": 3.90, "crystal_system": "orthorhombic", "lattice_angstrom": [[7.4363, 0.0000, 0.0000], [0.0000, 6.4904, 0.0000], [0.0000, 0.0000, 7.5122]], "species": ["Li", "Li", "Li", "Li", "V", "V", "V", "V", "As", "As", "As", "As", "O", "O", "O", "O", "O", "O", "O", "O", "O", "O", "O", "O", "O", "O", "O", "O", "O", "O", "O", "O"], "frac_coords": [[0.0000, 0.0000, 0.0000], [0.0000, 0.5000, 0.0000], [0.5000, 0.0000, 0.5000], [0.5000, 0.5000, 0.5000], [0.1672, 0.2500, 0.2720], [0.3328, 0.7500, 0.7720], [0.6672, 0.2500, 0.2280], [0.8328, 0.7500, 0.7280], [0.1251, 0.7500, 0.3747], [0.3749, 0.2500, 0.8747], [0.6251, 0.7500, 0.1253], [0.8749, 0.2500, 0.6253], [0.0675, 0.2500, 0.5041], [0.1155, 0.7500, 0.8214], [0.1274, 0.5432, 0.2333], [0.1274, 0.9568, 0.2333], [0.1820, 0.2500, 0.0014], [0.3180, 0.7500, 0.5014], [0.3726, 0.0432, 0.7333], [0.3726, 0.4568, 0.7333], [0.3845, 0.2500, 0.3214], [0.4325, 0.7500, 0.0041], [0.5675, 0.2500, 0.9959], [0.6155, 0.7500, 0.6786], [0.6274, 0.5432, 0.2667], [0.6274, 0.9568, 0.2667], [0.6820, 0.2500, 0.4986], [0.8180, 0.7500, 0.9986], [0.8726, 0.0432, 0.7667], [0.8726, 0.4568, 0.7667], [0.8845, 0.2500, 0.1785], [0.9325, 0.7500, 0.4959]]}